Record 1
Density functional theory data (GGA+U) for a relaxed structure of K2ScNiF6.

a b c (Å): 5.5534 5.7180 6.2973
angles (deg): 116.93 112.39 90.06
Space group P-1 (No. 2)
Inequivalent atoms, fractional coordinates:
K: 0.2201 0.2385 0.4772 x2
Sc: 0.0000 0.5000 0.0000 x1
Ni: 0.5000 0.0000 0.0000 x1
F: 0.2041 0.2003 0.9034 x2
F: 0.2046 0.7010 0.9016 x2
F: 0.2647 0.6922 0.3829 x2

Computed properties:
- N(E_F) (states/eV/f.u.) = 0.0
- total magnetization (μB/f.u.) = 1.00

Record 2
Density functional theory data (GGA+U) for a relaxed structure of K2SmNi3F12.

a b c (Å): 7.4082 7.4082 16.7418
angles (deg): 90.00 90.00 120.00
Space group R-3m (No. 166, hexagonal axes)
Inequivalent atoms, fractional coordinates:
K: 0.0000 0.0000 0.1160 x6
Sm: 0.0000 0.0000 0.5000 x3
Ni: 0.0000 0.5000 0.0000 x9
F: 0.0105 0.5052 0.8817 x18
F: 0.0796 0.5398 0.3166 x18

Computed properties:
- N(E_F) (states/eV/f.u.) = 5.7
- total magnetization (μB/f.u.) = 5.00

Record 3
Density functional theory data (GGA+U) for a relaxed structure of K2SrNi3F12.

a b c (Å): 7.4482 7.4482 16.6243
angles (deg): 90.00 90.00 120.00
Space group R-3m (No. 166, hexagonal axes)
Inequivalent atoms, fractional coordinates:
K: 0.0000 0.0000 0.1127 x6
Sr: 0.0000 0.0000 0.5000 x3
Ni: 0.0000 0.5000 0.0000 x9
F: 0.0376 0.5188 0.8872 x18
F: 0.0779 0.5390 0.3135 x18

Computed properties:
- N(E_F) (states/eV/f.u.) = 7.9
- total magnetization (μB/f.u.) = 8.00

Record 4
Density functional theory data (GGA+U) for a relaxed structure of KSrNiF6.

a b c (Å): 6.0108 6.0108 9.8800
angles (deg): 90.00 90.00 120.00
Space group P-31c (No. 163)
Inequivalent atoms, fractional coordinates:
K: 0.0000 0.0000 0.0000 x2
Sr: 0.3333 0.6667 0.2500 x2
Ni: 0.3333 0.6667 0.7500 x2
F: 0.0635 0.4039 0.6422 x12

Computed properties:
- N(E_F) (states/eV/f.u.) = 0.0
- total magnetization (μB/f.u.) = 2.92

Record 5
Density functional theory data (GGA+U) for a relaxed structure of K2TbNiF6.

a b c (Å): 5.8381 9.9719 6.1484
angles (deg): 90.00 90.00 90.00
Space group Pmmn (No. 59, origin choice 2)
Inequivalent atoms, fractional coordinates:
K: 0.2500 0.0318 0.2452 x4
Tb: 0.2500 0.2500 0.7490 x2
Ni: 0.2500 0.7500 0.7506 x2
F: 0.9999 0.2500 0.4854 x4
F: 0.0006 0.7500 0.9872 x4
F: 0.2500 0.0310 0.7551 x4

Computed properties:
- total magnetization (μB/f.u.) = 1.00

Record 6
Density functional theory data (GGA+U) for a relaxed structure of KTl3Ni2F9.

a b c (Å): 5.9259 5.9259 8.1550
angles (deg): 90.00 90.00 120.00
Space group P-3m1 (No. 164)
Inequivalent atoms, fractional coordinates:
K: 0.0000 0.0000 0.0000 x1
Tl: 0.0000 0.0000 0.5000 x1
Tl: 0.3333 0.6667 0.2111 x2
Ni: 0.3333 0.6667 0.6424 x2
F: 0.0000 0.5000 0.5000 x3
F: 0.1665 0.3330 0.7621 x6

Computed properties:
- N(E_F) (states/eV/f.u.) = 3.9
- total magnetization (μB/f.u.) = 4.50

Record 7
Density functional theory data (GGA+U) for a relaxed structure of KTl2Ni3F12.

a b c (Å): 7.3877 7.3877 15.1541
angles (deg): 90.00 90.00 120.00
Space group R-3m (No. 166, hexagonal axes)
Inequivalent atoms, fractional coordinates:
K: 0.0000 0.0000 0.0000 x3
Tl: 0.0000 0.0000 0.3929 x6
Ni: 0.0000 0.5000 0.5000 x9
F: 0.0568 0.5284 0.8060 x18
F: 0.0790 0.5395 0.3721 x18

Computed properties:
- N(E_F) (states/eV/f.u.) = 4.0
- total magnetization (μB/f.u.) = 5.49

Record 8
Density functional theory data (GGA+U) for a relaxed structure of KTlNiF6.

a b c (Å): 5.6870 5.6870 11.0913
angles (deg): 90.00 90.00 120.00
Space group P-31c (No. 163)
Inequivalent atoms, fractional coordinates:
K: 0.0000 0.0000 0.0000 x2
Tl: 0.3333 0.6667 0.2500 x2
Ni: 0.3333 0.6667 0.7500 x2
F: 0.0227 0.3835 0.6480 x12

Computed properties:
- N(E_F) (states/eV/f.u.) = 0.0
- total magnetization (μB/f.u.) = 1.93

Record 9
Density functional theory data (GGA+U) for a relaxed structure of K3Tl3NiF8.

a b c (Å): 7.5291 7.5291 19.1200
angles (deg): 90.00 90.00 120.00
Space group R-3m (No. 166, hexagonal axes)
Inequivalent atoms, fractional coordinates:
K: 0.0000 0.5000 0.0000 x9
Tl: 0.0000 0.5000 0.5000 x9
Ni: 0.0000 0.0000 0.0000 x3
F: 0.0000 0.0000 0.2560 x6
F: 0.0705 0.5352 0.7289 x18

Computed properties:
- N(E_F) (states/eV/f.u.) = 0.0
- total magnetization (μB/f.u.) = 2.03

Record 10
Density functional theory data (GGA+U) for a relaxed structure of K3TlNi2F9.

a b c (Å): 5.9505 5.9505 7.6634
angles (deg): 90.00 90.00 120.00
Space group P-3m1 (No. 164)
Inequivalent atoms, fractional coordinates:
K: 0.0000 0.0000 0.0000 x1
K: 0.3333 0.6667 0.7010 x2
Tl: 0.0000 0.0000 0.5000 x1
Ni: 0.3333 0.6667 0.1496 x2
F: 0.0000 0.5000 0.0000 x3
F: 0.1760 0.3519 0.3016 x6

Computed properties:
- N(E_F) (states/eV/f.u.) = 2.7
- total magnetization (μB/f.u.) = 3.11

Record 11
Density functional theory data (GGA+U) for a relaxed structure of KTlNi2F8.

a b c (Å): 4.7182 5.1324 7.9648
angles (deg): 94.80 90.32 94.18
Space group P-1 (No. 2)
Inequivalent atoms, fractional coordinates:
K: 0.0000 0.0000 0.0000 x1
Tl: 0.0000 0.0000 0.5000 x1
Ni: 0.4867 0.5356 0.7020 x2
F: 0.1473 0.2445 0.3076 x2
F: 0.1699 0.2581 0.7134 x2
F: 0.3629 0.7137 0.4927 x2
F: 0.4094 0.7186 0.9061 x2

Computed properties:
- N(E_F) (states/eV/f.u.) = 0.0
- total magnetization (μB/f.u.) = 4.06

Record 12
Density functional theory data (GGA+U) for a relaxed structure of K2V3NiF12.

a b c (Å): 7.4975 7.4975 17.9513
angles (deg): 90.00 90.00 120.00
Space group R-3m (No. 166, hexagonal axes)
Inequivalent atoms, fractional coordinates:
K: 0.0000 0.0000 0.1519 x6
V: 0.0000 0.5000 0.0000 x9
Ni: 0.0000 0.0000 0.5000 x3
F: 0.0671 0.5336 0.1081 x18
F: 0.0741 0.5370 0.3577 x18

Computed properties:
- N(E_F) (states/eV/f.u.) = 6.1
- total magnetization (μB/f.u.) = 9.00

Record 13
Density functional theory data (GGA+U) for a relaxed structure of K2VNiF6.

a b c (Å): 4.1547 4.1547 8.2504
angles (deg): 90.00 90.00 90.00
Space group P4/mmm (No. 123)
Inequivalent atoms, fractional coordinates:
K: 0.0000 0.0000 0.2443 x2
V: 0.5000 0.5000 0.5000 x1
Ni: 0.5000 0.5000 0.0000 x1
F: 0.0000 0.5000 0.0000 x2
F: 0.0000 0.5000 0.5000 x2
F: 0.5000 0.5000 0.2424 x2

Computed properties:
- total magnetization (μB/f.u.) = 5.00

Record 14
Density functional theory data (GGA+U) for a relaxed structure of K2VNi3F12.

a b c (Å): 7.2234 7.2234 18.3825
angles (deg): 90.00 90.00 120.00
Space group R-3m (No. 166, hexagonal axes)
Inequivalent atoms, fractional coordinates:
K: 0.0000 0.0000 0.0984 x6
V: 0.0000 0.0000 0.5000 x3
Ni: 0.0000 0.5000 0.0000 x9
F: 0.0617 0.5309 0.3605 x18
F: 0.0828 0.5414 0.1106 x18

Computed properties:
- total magnetization (μB/f.u.) = 7.00

Record 15
Density functional theory data (GGA+U) for a relaxed structure of K2NiWF.

a b c (Å): 6.6161 6.6161 4.8306
angles (deg): 90.00 90.00 90.00
Space group P4/mmm (No. 123)
Inequivalent atoms, fractional coordinates:
K: 0.0000 0.5000 0.0000 x2
Ni: 0.0000 0.0000 0.5000 x1
W: 0.0000 0.0000 0.0000 x1
F: 0.5000 0.5000 0.5000 x1

Computed properties:
- N(E_F) (states/eV/f.u.) = 2.3
- total magnetization (μB/f.u.) = 4.40

Record 16
Density functional theory data (GGA+U) for a relaxed structure of K2YNiF6.

a b c (Å): 5.6504 5.8710 6.6131
angles (deg): 116.28 113.34 90.07
Space group P-1 (No. 2)
Inequivalent atoms, fractional coordinates:
K: 0.2115 0.2417 0.4842 x2
Y: 0.0000 0.5000 0.0000 x1
Ni: 0.5000 0.0000 0.0000 x1
F: 0.2032 0.1819 0.8809 x2
F: 0.2034 0.6966 0.8786 x2
F: 0.2895 0.6968 0.3917 x2

Computed properties:
- N(E_F) (states/eV/f.u.) = 0.0
- total magnetization (μB/f.u.) = 1.00

Record 17
Density functional theory data (GGA+U) for a relaxed structure of K2ZnNiF6.

a b c (Å): 8.1903 8.1903 8.1903
angles (deg): 90.00 90.00 90.00
Space group Fm-3m (No. 225)
Inequivalent atoms, fractional coordinates:
K: 0.2500 0.2500 0.2500 x8
Zn: 0.0000 0.0000 0.0000 x4
Ni: 0.0000 0.0000 0.5000 x4
F: 0.0000 0.0000 0.2516 x24

Computed properties:
- N(E_F) (states/eV/f.u.) = 0.0
- total magnetization (μB/f.u.) = 2.00

Record 18
Density functional theory data (GGA+U) for a relaxed structure of K2Zn3NiF12.

a b c (Å): 7.1994 7.1994 18.3223
angles (deg): 90.00 90.00 120.00
Space group R-3m (No. 166, hexagonal axes)
Inequivalent atoms, fractional coordinates:
K: 0.0000 0.0000 0.1093 x6
Zn: 0.0000 0.5000 0.0000 x9
Ni: 0.0000 0.0000 0.5000 x3
F: 0.0608 0.5304 0.3659 x18
F: 0.0931 0.5465 0.1114 x18

Computed properties:
- N(E_F) (states/eV/f.u.) = 0.3
- total magnetization (μB/f.u.) = 0.00

Number 1: DFT total energy -5.18 eV/atom. Number 2: DFT total energy -4.69 eV/atom. Number 3: DFT total energy -4.29 eV/atom. Number 4: DFT total energy -4.55 eV/atom. Number 5: DFT total energy -5.00 eV/atom. Number 6: DFT total energy -4.02 eV/atom. Number 7: DFT total energy -3.97 eV/atom. Number 8: DFT total energy -4.13 eV/atom. Number 9: DFT total energy -4.09 eV/atom. Number 10: DFT total energy -4.18 eV/atom. Number 11: DFT total energy -4.04 eV/atom. Number 12: DFT total energy -5.49 eV/atom. Number 13: DFT total energy -4.96 eV/atom. Number 14: DFT total energy -4.69 eV/atom. Number 15: DFT total energy -2.18 eV/atom. Number 16: DFT total energy -5.21 eV/atom. Number 17: DFT total energy -4.25 eV/atom. Number 18: DFT total energy -3.92 eV/atom.